1.
VASP calculation (PBE) on a relaxed MnOsSe crystal.

Results
Its raw formation energy is 0.42 eV per atom. Its energy above the most stable polymorph in this dataset is 162.7 meV per atom.

Cell: 5.451 5.451 5.451 Å, 149.21 149.21 44.11°
Fractional positions:
Mn (0.000, 0.000, 0.000)
Os (0.653, 0.653, 0.000)
Se (0.337, 0.337, 0.000)


2.
VASP calculation (PBE) on a relaxed Sr3PuRe2N8 crystal.

Results
Its raw formation energy is -0.75 eV per atom.

Cell: 6.003 6.003 7.508 Å, 90.00 90.00 120.00°
Fractional positions:
Sr (0.000, 0.000, 0.000)
Sr (0.333, 0.667, 0.663)
Sr (0.667, 0.333, 0.337)
Pu (0.000, 0.000, 0.500)
Re (0.333, 0.667, 0.219)
Re (0.667, 0.333, 0.781)
N (0.168, 0.336, 0.311)
N (0.168, 0.832, 0.311)
N (0.333, 0.667, 0.983)
N (0.336, 0.168, 0.689)
N (0.664, 0.832, 0.311)
N (0.667, 0.333, 0.017)
N (0.832, 0.168, 0.689)
N (0.832, 0.664, 0.689)


3.
VASP calculation (PBE) on a relaxed Tb4HgIrPd2 crystal.

Results
For the energy of formation from the pure elements, the calculation gives -74 kJ/mol of atoms.

Cell: 8.693 8.693 8.693 Å, 33.70 33.70 33.70°
Fractional positions:
Tb (0.118, 0.118, 0.118)
Tb (0.369, 0.369, 0.369)
Tb (0.631, 0.631, 0.631)
Tb (0.882, 0.882, 0.882)
Hg (0.500, 0.500, 0.500)
Ir (0.000, 0.000, 0.000)
Pd (0.246, 0.246, 0.246)
Pd (0.754, 0.754, 0.754)


4.
VASP calculation (PBE) on a relaxed ScGe crystal.

Results
For the energy of formation from the pure elements, the calculation gives -78 kJ/mol of atoms.

Cell: 10.520 10.520 10.520 Å, 158.65 158.65 30.37°
Fractional positions:
Sc (0.069, 0.319, 0.750)
Sc (0.319, 0.069, 0.250)
Sc (0.681, 0.931, 0.750)
Sc (0.931, 0.681, 0.250)
Ge (0.205, 0.455, 0.750)
Ge (0.455, 0.205, 0.250)
Ge (0.545, 0.795, 0.750)
Ge (0.795, 0.545, 0.250)


5.
VASP calculation (PBE) on a relaxed PuPa2Co crystal.

Results
For the energy of formation from the pure elements, the calculation gives 20 kJ/mol of atoms. Its energy above the most stable polymorph in this dataset is 234.8 meV per atom.

Cell: 9.527 9.527 9.527 Å, 20.44 20.44 20.44°
Fractional positions:
Pu (0.000, 0.000, 0.000)
Pa (0.103, 0.103, 0.103)
Pa (0.897, 0.897, 0.897)
Co (0.500, 0.500, 0.500)


6.
VASP calculation (PBE) on a relaxed BeSb2 crystal.

Results
Its raw formation energy is 0.88 eV per atom. Its energy above the most stable polymorph in this dataset is 647.9 meV per atom.

Cell: 6.226 6.226 10.966 Å, 90.00 90.00 120.00°
Fractional positions:
Be (0.333, 0.667, 0.086)
Be (0.333, 0.667, 0.414)
Be (0.667, 0.333, 0.586)
Be (0.667, 0.333, 0.914)
Sb (0.000, 0.000, 0.000)
Sb (0.000, 0.000, 0.500)
Sb (0.164, 0.329, 0.250)
Sb (0.164, 0.836, 0.250)
Sb (0.329, 0.164, 0.750)
Sb (0.671, 0.836, 0.250)
Sb (0.836, 0.164, 0.750)
Sb (0.836, 0.671, 0.750)


7.
VASP calculation (PBE) on a relaxed LaCd2Si crystal.

Results
Its raw formation energy is -0.11 eV per atom.

Cell: 11.551 11.551 11.551 Å, 158.26 158.26 30.93°
Fractional positions:
La (0.000, 0.000, 0.000)
La (0.750, 0.250, 0.500)
Cd (0.157, 0.625, 0.032)
Cd (0.375, 0.407, 0.532)
Cd (0.593, 0.125, 0.968)
Cd (0.875, 0.843, 0.468)
Si (0.250, 0.750, 0.500)
Si (0.500, 0.500, 0.000)


8.
VASP calculation (PBE) on a relaxed Ca2Pr12Sm7 crystal.

Results
For the energy of formation from the pure elements, the calculation gives 4 kJ/mol of atoms.

Cell: 15.408 15.408 3.676 Å, 90.00 90.00 120.00°
Fractional positions:
Ca (0.000, 0.000, 0.000)
Ca (0.333, 0.667, 0.500)
Pr (0.051, 0.794, 0.500)
Pr (0.122, 0.411, 0.000)
Pr (0.206, 0.257, 0.500)
Pr (0.289, 0.878, 0.000)
Pr (0.415, 0.261, 0.000)
Pr (0.498, 0.097, 0.500)
Pr (0.589, 0.711, 0.000)
Pr (0.598, 0.502, 0.500)
Pr (0.739, 0.155, 0.000)
Pr (0.743, 0.949, 0.500)
Pr (0.845, 0.585, 0.000)
Pr (0.903, 0.402, 0.500)
Sm (0.099, 0.621, 0.000)
Sm (0.233, 0.046, 0.500)
Sm (0.379, 0.478, 0.000)
Sm (0.522, 0.901, 0.000)
Sm (0.667, 0.333, 0.000)
Sm (0.813, 0.767, 0.500)
Sm (0.954, 0.187, 0.500)


9.
VASP calculation (PBE) on a relaxed SrOsW2 crystal.

Results
For the energy of formation from the pure elements, the calculation gives 77 kJ/mol of atoms. Its energy above the most stable polymorph in this dataset is 108.5 meV per atom.

Cell: 2.885 2.885 9.253 Å, 90.00 90.00 90.12°
Fractional positions:
Sr (0.000, 0.000, 0.000)
Os (0.000, 0.000, 0.500)
W (0.500, 0.500, 0.304)
W (0.500, 0.500, 0.696)


10.
VASP calculation (PBE) on a relaxed AgTe4Pd crystal.

Results
Its raw formation energy is -0.16 eV per atom.

Cell: 4.128 6.689 6.743 Å, 67.28 72.62 72.53°
Fractional positions:
Ag (0.000, 0.000, 0.000)
Te (0.114, 0.196, 0.545)
Te (0.352, 0.350, 0.941)
Te (0.648, 0.650, 0.059)
Te (0.886, 0.804, 0.455)
Pd (0.500, 0.500, 0.500)


11.
VASP calculation (PBE) on a relaxed KCu2Pd2 crystal.

Results
For the energy of formation from the pure elements, the calculation gives 7 kJ/mol of atoms. Its energy above the most stable polymorph in this dataset is 2.2 meV per atom.

Cell: 7.899 7.899 2.762 Å, 90.00 90.00 90.00°
Fractional positions:
K (0.000, 0.000, 0.000)
K (0.500, 0.500, 0.000)
Cu (0.162, 0.338, 0.500)
Cu (0.338, 0.838, 0.500)
Cu (0.662, 0.162, 0.500)
Cu (0.838, 0.662, 0.500)
Pd (0.129, 0.629, 0.000)
Pd (0.371, 0.129, 0.000)
Pd (0.629, 0.871, 0.000)
Pd (0.871, 0.371, 0.000)


12.
VASP calculation (PBE) on a relaxed Nd2Er3TmBi6 crystal.

Results
For the energy of formation from the pure elements, the calculation gives -82 kJ/mol of atoms.

Cell: 10.057 10.057 8.998 Å, 102.86 102.86 25.87°
Fractional positions:
Nd (0.166, 0.166, 0.332)
Nd (0.834, 0.834, 0.668)
Er (0.169, 0.169, 0.834)
Er (0.500, 0.500, 0.500)
Er (0.831, 0.831, 0.166)
Tm (0.500, 0.500, 0.000)
Bi (0.004, 0.004, 0.753)
Bi (0.334, 0.334, 0.925)
Bi (0.336, 0.336, 0.411)
Bi (0.664, 0.664, 0.589)
Bi (0.666, 0.666, 0.075)
Bi (0.996, 0.996, 0.247)


| no. | DFT total energy (eV per atom) |
| --- | --- |
| 1 | -7.544 |
| 2 | -8.672 |
| 3 | -5.529 |
| 4 | -6.286 |
| 5 | -9.898 |
| 6 | -3.110 |
| 7 | -3.160 |
| 8 | -4.451 |
| 9 | -8.911 |
| 10 | -3.591 |
| 11 | -3.866 |
| 12 | -5.096 |